Computed, not measured: crystalline Ca3Tl5Hg at its relaxed geometry at the PBE level of DFT.

```
data_Ca3Tl5Hg
_chemical_formula_sum 'Ca12 Tl20 Hg4'
_cell_length_a 9.5182
_cell_length_b 9.5182
_cell_length_c 12.4697
_cell_angle_alpha 90.00
_cell_angle_beta 90.00
_cell_angle_gamma 90.00
_space_group_name_H-M_alt 'I 4/m c m'
_space_group_IT_number 140
_space_group_name_Hall '-I 4 2c'
loop_
_atom_site_label
_atom_site_fract_x
_atom_site_fract_y
_atom_site_fract_z
Ca1 0.0000 0.0000 0.2500
Ca2 0.1243 0.3757 0.0000
Tl1 0.0000 0.0000 0.0000
Tl2 0.1888 0.3112 0.3584
Hg1 0.0000 0.5000 0.2500
```

Summary:
The formation energy is -16.0 kJ/mol of atoms.

Computed, not measured: crystalline Ni3Rh2 at its relaxed geometry at the PBE level of DFT.

```
data_Ni3Rh2
_chemical_formula_sum 'Ni6 Rh4'
_cell_length_a 2.6315
_cell_length_b 3.6328
_cell_length_c 13.0584
_cell_angle_alpha 90.00
_cell_angle_beta 90.00
_cell_angle_gamma 90.00
_space_group_name_H-M_alt 'I m m m'
_space_group_IT_number 71
_space_group_name_Hall '-I 2 2'
loop_
_atom_site_label
_atom_site_fract_x
_atom_site_fract_y
_atom_site_fract_z
Ni1 0.0000 0.0000 0.0000
Ni2 0.0000 0.0000 0.2008
Rh1 0.0000 0.0000 0.3971
```

Summary:
The formation energy is 4.2 kJ/mol of atoms. The calculation puts the relative energy among the computed polymorphs at 0 kJ/mol of formula units.

Computed, not measured: crystalline LaMo3Pt at its relaxed geometry at the PBE level of DFT.

```
data_LaMo3Pt
_chemical_formula_sum 'La1 Mo3 Pt1'
_cell_length_a 4.6997
_cell_length_b 4.6997
_cell_length_c 4.6997
_cell_angle_alpha 90.00
_cell_angle_beta 90.00
_cell_angle_gamma 90.00
_space_group_name_H-M_alt 'P m -3 m'
_space_group_IT_number 221
_space_group_name_Hall '-P 4 2 3'
loop_
_atom_site_label
_atom_site_fract_x
_atom_site_fract_y
_atom_site_fract_z
La1 0.0000 0.0000 0.0000
Mo1 0.0000 0.0000 0.5000
Pt1 0.5000 0.5000 0.5000
```

Summary:
The formation energy is 207.1 kJ/mol of atoms. The calculation puts the relative energy among the computed polymorphs at 461 kJ/mol of formula units.